A relaxed Ag3SbW crystal. Source: the Alexandria database, functional PBE.

Computed properties:
Formation energy (no corrections): 1592.4 meV per atom
Energy relative to the lowest polymorph listed for this composition: 0.000 eV per atom

a = 5.1869 Å, b = 5.1869 Å, c = 5.1869 Å
α = 90.00°, β = 90.00°, γ = 90.00°
Space group Pm-3m (No. 221)
Inequivalent atoms, fractional coordinates:
Ag: 0.0000 0.0000 0.5000 x3
Sb: 0.0000 0.0000 0.0000 x1
W: 0.5000 0.5000 0.5000 x1

---

A relaxed NdPd4Pt8 crystal. Source: the Alexandria database, functional PBE.

Computed properties:
E_form: -0.209 eV per atom

a = 9.0860 Å, b = 9.0860 Å, c = 5.3581 Å
α = 90.00°, β = 90.00°, γ = 90.00°
Space group I4/mmm (No. 139)
Inequivalent atoms, fractional coordinates:
Nd: 0.0000 0.0000 0.0000 x2
Pd: 0.2500 0.2500 0.2500 x8
Pt: 0.0000 0.2182 0.5000 x8
Pt: 0.0000 0.3498 0.0000 x8

---

A relaxed Pr3TlPd8 crystal. Source: the Alexandria database, functional PBE.

Computed properties:
E_form: -0.676 eV per atom

a = 5.5238 Å, b = 5.5238 Å, c = 27.0715 Å
α = 90.00°, β = 90.00°, γ = 120.00°
Space group R3m (No. 160, hexagonal axes)
Inequivalent atoms, fractional coordinates:
Pr: 0.0000 0.0000 0.0000 x3
Pr: 0.0000 0.0000 0.1292 x3
Pr: 0.0000 0.0000 0.5151 x3
Tl: 0.0000 0.0000 0.6379 x3
Pd: 0.0000 0.0000 0.3186 x3
Pd: 0.0000 0.0000 0.8184 x3
Pd: 0.0019 0.5009 0.0696 x9
Pd: 0.1681 0.3361 0.9011 x9

---

A relaxed MnRe2 crystal. Source: the Alexandria database, functional PBE.

Computed properties:
E_form: 0.877 eV per atom

a = 4.1433 Å, b = 4.1433 Å, c = 2.7243 Å
α = 90.00°, β = 90.00°, γ = 90.00°
Space group P4/mmm (No. 123)
Inequivalent atoms, fractional coordinates:
Mn: 0.0000 0.0000 0.0000 x1
Re: 0.0000 0.5000 0.5000 x2

---

A relaxed Ho2ZnGe4Rh3 crystal. Source: the Alexandria database, functional PBE.

Computed properties:
E_form: -0.712 eV per atom

a = 4.1689 Å, b = 4.1689 Å, c = 10.3627 Å
α = 90.00°, β = 90.00°, γ = 90.00°
Space group P-4m2 (No. 115)
Inequivalent atoms, fractional coordinates:
Ho: 0.0000 0.5000 0.2429 x2
Zn: 0.0000 0.0000 0.5000 x1
Ge: 0.0000 0.0000 0.0000 x1
Ge: 0.0000 0.5000 0.6401 x2
Ge: 0.5000 0.5000 0.0000 x1
Rh: 0.0000 0.5000 0.8727 x2
Rh: 0.5000 0.5000 0.5000 x1

---

A relaxed La6PrEr4 crystal. Source: the Alexandria database, functional PBE.

Computed properties:
E_form: 0.096 eV per atom

a = 5.9061 Å, b = 9.8908 Å, c = 26.3869 Å
α = 90.00°, β = 90.00°, γ = 90.00°
Space group Cmcm (No. 63)
Inequivalent atoms, fractional coordinates:
La: 0.0000 0.0000 0.0000 x4
La: 0.0000 0.0364 0.2500 x4
La: 0.0000 0.3133 0.5948 x8
La: 0.0000 0.3621 0.1807 x8
Pr: 0.0000 0.3036 0.7500 x4
Er: 0.0000 0.0266 0.1247 x8
Er: 0.0000 0.3427 0.0458 x8

---

A relaxed LaYW crystal. Source: the Alexandria database, functional PBE.

Computed properties:
E_form: 0.579 eV per atom
Energy relative to the lowest polymorph listed for this composition: 0.053 eV per atom

a = 5.0446 Å, b = 5.0446 Å, c = 3.3733 Å
α = 90.00°, β = 90.00°, γ = 120.00°
Space group P3m1 (No. 156)
Inequivalent atoms, fractional coordinates:
La: 0.0000 0.0000 0.0000 x1
Y: 0.3333 0.6667 0.5085 x1
W: 0.6667 0.3333 0.0517 x1

---

A relaxed LiNdEuDy crystal. Source: the Alexandria database, functional PBE.

Computed properties:
E_form: 0.201 eV per atom

a = 8.0386 Å, b = 8.0386 Å, c = 8.0386 Å
α = 90.00°, β = 90.00°, γ = 90.00°
Space group F-43m (No. 216)
Inequivalent atoms, fractional coordinates:
Li: 0.0000 0.0000 0.0000 x4
Nd: 0.2500 0.2500 0.7500 x4
Eu: 0.2500 0.2500 0.2500 x4
Dy: 0.0000 0.0000 0.5000 x4

---

A relaxed ZrH2Os crystal. Source: the Alexandria database, functional PBE.

Computed properties:
Energy relative to the lowest polymorph listed for this composition: 0.466 eV per atom

a = 5.5286 Å, b = 5.5286 Å, c = 5.5286 Å
α = 90.00°, β = 90.00°, γ = 90.00°
Space group Fm-3m (No. 225)
Inequivalent atoms, fractional coordinates:
Zr: 0.0000 0.0000 0.0000 x4
H: 0.2500 0.2500 0.2500 x8
Os: 0.0000 0.0000 0.5000 x4

---

A relaxed Dy7Ho2Th3 crystal. Source: the Alexandria database, functional PBE.

Computed properties:
E_form: 0.344 eV per atom

a = 6.0876 Å, b = 5.4950 Å, c = 12.1053 Å
α = 90.00°, β = 91.47°, γ = 90.00°
Space group P2/m (No. 10)
Inequivalent atoms, fractional coordinates:
Dy: 0.0000 0.0000 0.0000 x1
Dy: 0.0783 0.5000 0.1723 x2
Dy: 0.2386 0.5000 0.4548 x2
Dy: 0.4392 0.0000 0.1823 x2
Ho: 0.3936 0.5000 0.7229 x2
Th: 0.0654 0.0000 0.6449 x2
Th: 0.5000 0.5000 0.0000 x1

---

A relaxed ZrTl3Cl8 crystal. Source: the Alexandria database, functional PBE.

Computed properties:
Formation energy (no corrections): -1162.7 meV per atom

a = 7.4482 Å, b = 7.4482 Å, c = 13.4779 Å
α = 90.00°, β = 90.00°, γ = 90.00°
Space group I-42m (No. 121)
Inequivalent atoms, fractional coordinates:
Zr: 0.0000 0.0000 0.0000 x2
Tl: 0.0000 0.0000 0.5000 x2
Tl: 0.0000 0.5000 0.2500 x4
Cl: 0.1641 0.1641 0.1727 x8
Cl: 0.2214 0.2214 0.9349 x8

---

A relaxed PrNd4Dy7 crystal. Source: the Alexandria database, functional PBE.

Computed properties:
E_form: 0.250 eV per atom
Energy relative to the lowest polymorph listed for this composition: 0.166 eV per atom

a = 12.1866 Å, b = 5.9552 Å, c = 12.8375 Å
α = 90.00°, β = 117.97°, γ = 90.00°
Space group C2/m (No. 12)
Inequivalent atoms, fractional coordinates:
Pr: 0.0000 0.0000 0.0000 x2
Nd: 0.1349 0.5000 0.7765 x4
Nd: 0.2300 0.0000 0.6710 x4
Dy: 0.0000 0.5000 0.0000 x2
Dy: 0.0671 0.0000 0.3195 x4
Dy: 0.1320 0.5000 0.4974 x4
Dy: 0.2107 0.0000 0.9227 x4

---

A relaxed Sm5In2Ag crystal. Source: the Alexandria database, functional PBE.

Computed properties:
E_form: -0.262 eV per atom

a = 7.0702 Å, b = 7.0702 Å, c = 9.0716 Å
α = 90.00°, β = 90.00°, γ = 90.00°
Space group I4mm (No. 107)
Inequivalent atoms, fractional coordinates:
Sm: 0.0000 0.0000 0.0000 x2
Sm: 0.2501 0.2501 0.2499 x8
In: 0.0000 0.5000 0.9999 x4
Ag: 0.0000 0.0000 0.4994 x2

---

A relaxed AcUAlS6 crystal. Source: the Alexandria database, functional PBE.

Computed properties:
Formation energy (no corrections): -1309.5 meV per atom

a = 6.4373 Å, b = 6.4373 Å, c = 6.5345 Å
α = 90.00°, β = 90.00°, γ = 120.00°
Space group P312 (No. 149)
Inequivalent atoms, fractional coordinates:
Ac: 0.0000 0.0000 0.0000 x1
U: 0.3333 0.6667 0.5000 x1
Al: 0.6667 0.3333 0.5000 x1
S: 0.3769 0.0144 0.7216 x6

---

A relaxed Pa2TaMo crystal. Source: the Alexandria database, functional PBE.

Computed properties:
E_form: 0.532 eV per atom
Energy relative to the lowest polymorph listed for this composition: 0.233 eV per atom

a = 3.0684 Å, b = 3.0684 Å, c = 31.4758 Å
α = 90.00°, β = 90.00°, γ = 120.00°
Space group R-3m (No. 166, hexagonal axes)
Inequivalent atoms, fractional coordinates:
Pa: 0.0000 0.0000 0.0916 x6
Ta: 0.0000 0.0000 0.0000 x3
Mo: 0.0000 0.0000 0.5000 x3

---

A relaxed CeSmRuPt crystal. Source: the Alexandria database, functional PBE.

Computed properties:
E_form: -0.739 eV per atom
Energy relative to the lowest polymorph listed for this composition: 0.000 eV per atom

a = 4.0607 Å, b = 3.8749 Å, c = 11.4643 Å
α = 90.00°, β = 90.00°, γ = 90.00°
Space group Amm2 (No. 38)
Inequivalent atoms, fractional coordinates:
Ce: 0.0000 0.0000 0.0000 x2
Sm: 0.5000 0.0000 0.2797 x2
Ru: 0.5000 0.0000 0.5369 x2
Pt: 0.0000 0.0000 0.7179 x2

---

A relaxed HfSn3Pt12 crystal. Source: the Alexandria database, functional PBE.

Computed properties:
E_form: -0.585 eV per atom

a = 4.0447 Å, b = 4.0447 Å, c = 16.2758 Å
α = 90.00°, β = 90.00°, γ = 90.00°
Space group P4/mmm (No. 123)
Inequivalent atoms, fractional coordinates:
Hf: 0.0000 0.0000 0.0000 x1
Sn: 0.0000 0.0000 0.2496 x2
Sn: 0.0000 0.0000 0.5000 x1
Pt: 0.0000 0.5000 0.1214 x4
Pt: 0.0000 0.5000 0.3746 x4
Pt: 0.5000 0.5000 0.0000 x1
Pt: 0.5000 0.5000 0.2488 x2
Pt: 0.5000 0.5000 0.5000 x1

---

A relaxed Th3Cu4Pt2 crystal. Source: the Alexandria database, functional PBE.

Computed properties:
E_form: -0.605 eV per atom

a = 10.6529 Å, b = 4.3660 Å, c = 8.4881 Å
α = 90.00°, β = 111.79°, γ = 90.00°
Space group C2/m (No. 12)
Inequivalent atoms, fractional coordinates:
Th: 0.0000 0.0000 0.0000 x2
Th: 0.1720 0.5000 0.6605 x4
Cu: 0.0432 0.0000 0.3872 x4
Cu: 0.2258 0.5000 0.0482 x4
Pt: 0.1101 0.5000 0.2720 x4

---

A relaxed AgAsW2 crystal. Source: the Alexandria database, functional PBE.

Computed properties:
E_form: 0.829 eV per atom

a = 3.8826 Å, b = 3.8826 Å, c = 8.8736 Å
α = 90.00°, β = 90.00°, γ = 90.00°
Space group I4/mmm (No. 139)
Inequivalent atoms, fractional coordinates:
Ag: 0.0000 0.0000 0.0000 x2
As: 0.0000 0.0000 0.5000 x2
W: 0.0000 0.5000 0.2500 x4